A plane-wave DFT calculation with meta-GGA SCAN was carried out for a PBEsol-optimized structure of Hg4Cl.

a b c (Å): 10.0852 10.0852 10.0852
angles (deg): 90.00 90.00 90.00
Last column: nearest neighbours and their distance in Å.
Space group I-43m (No. 217)
Symmetry-distinct sites (fractional):
Hg 0.0000 0.0000 0.3449  7 Hg 2.84-3.13
Hg 0.0000 0.2500 0.5000  4 Hg 2.97
Hg 0.1096 0.1096 0.8904  1 Cl 2.70, 3 Hg 2.84
Cl 0.2357 0.2357 0.2357  1 Hg 2.70

Summary:
Its energy is -56.271 eV/atom. As for the calculated volume: 1025.8 Å³ per cell. The formation energy from raw total energies is -142 meV per atom.